[1]
A relaxed RbGa2Ge2 crystal, computed with PBE.

Output
For the formation energy, the calculation gives -0.096 eV/atom.

Lattice parameters (Å, degrees): 4.790 4.790 10.412 90.00 90.00 90.00
Space group I4/mmm (No. 139)
Inequivalent atoms, fractional coordinates:
Rb1 0.000 0.000 0.000 (multiplicity 2)
Ga1 0.000 0.500 0.250 (multiplicity 4)
Ge1 0.000 0.000 0.373 (multiplicity 4)

***

[2]
A relaxed Ac3In3HgPb2 crystal, computed with PBE.

Output
For the formation energy, the calculation gives -0.456 eV/atom.

Lattice parameters (Å, degrees): 8.3401 8.3401 4.8038 90.00 90.00 120.00
Space group P-62m (No. 189)
Inequivalent atoms, fractional coordinates:
Ac1 0.0000 0.6078 0.0000 (multiplicity 3)
In1 0.0000 0.2421 0.5000 (multiplicity 3)
Hg1 0.0000 0.0000 0.0000 (multiplicity 1)
Pb1 0.3333 0.6667 0.5000 (multiplicity 2)

***

[3]
A relaxed Ca3ScPa3N8 crystal, computed with PBE.

Output
As for the uncorrected formation energy: -1.44 eV/atom.

Lattice parameters (Å, degrees): 6.9708 6.9708 17.0218 90.00 90.00 120.00
Space group R-3m (No. 166, hexagonal axes)
Inequivalent atoms, fractional coordinates:
Ca1 0.0000 0.5000 0.0000 (multiplicity 9)
Sc1 0.0000 0.0000 0.5000 (multiplicity 3)
Pa1 0.0000 0.5000 0.5000 (multiplicity 9)
N1 0.0000 0.0000 0.2420 (multiplicity 6)
N2 0.0027 0.5014 0.2312 (multiplicity 18)

***

[4]
A relaxed AcNdIrRu crystal, computed with PBE.

Output
For the formation energy, the calculation gives -0.201 eV/atom.

Lattice parameters (Å, degrees): 7.234 7.234 7.234 90.00 90.00 90.00
Space group F-43m (No. 216)
Inequivalent atoms, fractional coordinates:
Ac1 0.000 0.000 0.000 (multiplicity 4)
Nd1 0.000 0.000 0.500 (multiplicity 4)
Ir1 0.250 0.250 0.750 (multiplicity 4)
Ru1 0.250 0.250 0.250 (multiplicity 4)

***

[5]
A relaxed CaNi2Cl crystal, computed with PBE.

Output
As for the uncorrected formation energy: 0.00 eV/atom.

Lattice parameters (Å, degrees): 4.709 4.709 14.566 90.00 90.00 90.00
Space group I-42d (No. 122)
Inequivalent atoms, fractional coordinates:
Ca1 0.000 0.000 0.000 (multiplicity 4)
Ni1 0.010 0.250 0.625 (multiplicity 8)
Cl1 0.000 0.000 0.500 (multiplicity 4)

***

[6]
A relaxed RbFeW3 crystal, computed with PBE.

Output
For the formation energy, the calculation gives 4.268 eV/atom.

Lattice parameters (Å, degrees): 4.611 4.611 4.611 90.00 90.00 90.00
Space group Pm-3m (No. 221)
Inequivalent atoms, fractional coordinates:
Rb1 0.000 0.000 0.000 (multiplicity 1)
Fe1 0.500 0.500 0.500 (multiplicity 1)
W1 0.000 0.000 0.500 (multiplicity 3)

***

| no. | DFT total energy (eV/atom) |
| --- | --- |
| 1 | -3.348 |
| 2 | -3.596 |
| 3 | -8.606 |
| 4 | -6.955 |
| 5 | -3.857 |
| 6 | -5.390 |